# ScTa2Pt GGA-PBE relaxed
data_ScTa2Pt
_chemical_formula_sum 'Sc1 Ta2 Pt1'
_space_group_name_H-M_alt 'P 1'
_space_group_IT_number 1
_cell_length_a 4.635
_cell_length_b 4.635
_cell_length_c 4.635
_cell_angle_alpha 60.00
_cell_angle_beta 60.00
_cell_angle_gamma 60.00
loop_
_space_group_symop_operation_xyz
'x,y,z'
loop_
_atom_site_label
_atom_site_fract_x
_atom_site_fract_y
_atom_site_fract_z
Sc1 0.000 0.000 0.000
Ta1 0.500 0.500 0.500
Ta2 0.750 0.750 0.750
Pt1 0.250 0.250 0.250
# Total magnetization (μB per formula unit): 0.0
# VASP energy (eV per formula unit): -37.199
# Crystal system: cubic
# ΔE_f (eV/atom): -0.277